Entry 1:
A geometry-optimized BaHf15O31 structure. Source: OQMD via LeMat-Bulk, functional PBE-GGA.

The structure in extended XYZ format:
```
47
Lattice="-2.6507 -6.6395 1.3280 -0.8528 -1.5002 -7.0671 9.4439 -3.8539 -0.3921" Properties=species:S:1:pos:R:3 pbc="T T T"
O 8.5719 -4.4033 -2.8365
O 1.0623 -2.4817 -3.1947
O -0.1287 -4.8408 -3.9614
O 6.6814 -9.3774 0.5027
O -2.0111 -4.9311 -1.6345
O 3.8653 -2.5130 -2.6318
O 4.8235 -7.1635 0.5901
O 7.4789 -6.7845 -3.6761
O -0.8174 -7.4479 0.1675
O 5.1466 -7.4651 -2.2480
O -0.8667 -6.4764 -6.1144
O 6.1191 -5.4096 -0.8698
O 1.6519 -6.3873 -5.4254
O -1.1147 -2.3535 -5.8836
O 3.6032 -4.0695 -6.0727
O -1.0778 -2.6484 -0.5864
O 1.9520 -8.5473 -3.7030
O 0.3712 -5.7087 -1.6765
O 3.5649 -4.5052 -0.6931
O 2.7430 -6.7726 -1.8529
O 6.2249 -4.9009 -6.1944
O 5.6887 -4.5008 -3.5618
O 1.9203 -7.4196 0.6654
O -2.7869 -6.7459 -3.4779
O 3.8578 -9.4198 -0.1705
O 1.3055 -3.4489 -0.6220
O -0.4178 -7.5837 -3.4533
O 2.8646 -4.8923 -3.5075
O 4.3653 -9.3672 -3.6874
O 1.2689 -3.1966 -5.8797
O 6.6616 -8.3748 -5.6874
Hf -1.9759 -7.8336 -5.1272
Hf -1.4709 -7.0171 -1.6755
Hf 2.7551 -9.7270 -5.3315
Hf 2.8069 -3.0304 -4.4040
Hf 1.8097 -5.5680 -0.1200
Hf 6.2968 -8.5483 -3.7051
Hf 7.5121 -4.9758 -4.5740
Hf 1.3216 -6.3970 -3.4922
Hf -0.5875 -4.4014 -5.9031
Hf 3.1809 -2.3898 -0.6498
Hf 4.5168 -5.4468 -2.1513
Hf -0.2028 -3.6922 -2.1833
Hf 3.2241 -8.8030 -1.9617
Hf 6.5714 -7.5303 -0.3990
Hf 7.8750 -4.3108 -0.8917
Ba 4.2544 -6.3775 -5.4947
```

**Energy above the most stable polymorph in this dataset**: 0.9 meV per atom
**V**: 11.5 Å³/atom
**Magnetization**: 0.0 μB/cell


Entry 2:
A geometry-optimized CsTmFeS3 structure. Source: OQMD via LeMat-Bulk, functional PBE-GGA.

The structure in extended XYZ format:
```
12
Lattice="-3.8137 -0.5594 -8.4286 -2.7056 -2.5228 1.3917 -3.8889 7.1884 5.4703" Properties=species:S:1:pos:R:3 pbc="T T T"
S -6.0307 2.6368 1.4741
S -4.3776 1.4694 -3.0408
S -8.2581 2.2263 -3.6003
S -5.5484 6.0426 2.9733
S -2.1503 1.8798 2.0336
S -4.8599 -1.9364 -4.5400
Cs -6.3388 4.3423 -1.6456
Cs -4.0696 -0.2361 0.0790
Tm -3.8158 3.9048 2.4664
Tm -6.5925 0.2014 -4.0331
Fe -7.1638 4.3746 2.4217
Fe -3.2446 -0.2685 -3.9884
```

**DFT total energy**: -5.6896 eV/atom
**V**: 27.7 Å³/atom
**Magnetization**: 8.0 μB/cell


Entry 3:
A geometry-optimized NbZnFeB structure. Source: OQMD via LeMat-Bulk, functional PBE-GGA.

The structure in extended XYZ format:
```
4
Lattice="-0.5861 -0.4485 4.0186 -3.0328 -2.3704 1.3702 0.8500 -3.5666 1.8030" Properties=species:S:1:pos:R:3 pbc="T T T"
Zn -0.6922 -1.5964 1.7979
Nb -1.3845 -3.1928 3.5959
Fe -2.0767 -4.7892 5.3938
B 0.0000 0.0000 0.0000
```

**Energy above the most stable polymorph in this dataset**: 61.7 meV per atom
**V**: 12.1 Å³/atom
**Magnetization**: 0.0 μB/cell


Entry 4:
A geometry-optimized NaGdFeSe3 structure. Source: OQMD via LeMat-Bulk, functional PBE-GGA.

The structure in extended XYZ format:
```
24
Lattice="-1.5821 -4.4464 9.8052 -1.3260 -3.4208 -1.7652 12.5149 -4.7757 -0.1463" Properties=species:S:1:pos:R:3 pbc="T T T"
Se 3.3702 -3.5754 2.0496
Se 6.5750 -5.5283 3.4266
Se 3.0318 -7.1146 4.4671
Se 7.3357 -4.0466 -0.0162
Se 6.2366 -9.0675 5.8441
Se 8.9929 -7.5942 0.9186
Se 9.4666 -9.1568 8.2862
Se 0.1402 -3.4860 -0.3925
Se 2.2711 -8.5963 7.9099
Se 0.6139 -5.0487 6.9751
Se -0.2094 -5.1246 3.0455
Se 9.8162 -7.5182 4.8481
Fe 8.2570 -7.8500 6.6624
Fe 1.3498 -4.7928 1.2312
Fe 8.3142 -5.3468 1.7684
Fe 1.2926 -7.2961 6.1253
Gd 2.6254 -2.0525 -0.3422
Gd 2.1348 -4.3904 4.5569
Gd 7.4720 -8.2525 3.3368
Gd 6.9815 -10.5903 8.2358
Na -0.7409 -2.1454 2.3666
Na 10.3477 -10.4974 5.5271
Na 4.9688 -5.9198 0.6966
Na 4.6380 -6.7231 7.1971
```

**Energy above the most stable polymorph in this dataset**: 25.0 meV per atom
**V**: 24.7 Å³/atom
**Magnetization**: 16.0 μB/cell


Entry 5:
A geometry-optimized RbScCuS3 structure. Source: OQMD via LeMat-Bulk, functional PBE-GGA.

The structure in extended XYZ format:
```
12
Lattice="-3.9918 3.2894 7.1525 2.9823 -0.9332 2.0936 5.2063 6.3590 -4.5818" Properties=species:S:1:pos:R:3 pbc="T T T"
Rb 3.0554 6.7045 3.7044
Rb 1.1413 2.0107 0.9599
S 3.0519 6.8754 0.4066
S 1.1448 1.8398 4.2577
S 4.7083 5.6517 -2.4984
S -0.5116 3.0635 7.1626
S -0.0808 5.2983 4.1662
S 4.2775 3.4168 0.4981
Sc 5.3961 5.8506 -0.0106
Sc -1.1994 2.8646 4.6749
Cu 3.5474 3.8848 -1.6321
Cu 0.6494 4.8304 6.2964
```

**DFT total energy**: -5.0989 eV/atom
**V**: 23.9 Å³/atom
**Magnetization**: 0.0 μB/cell


Entry 6:
A geometry-optimized FeReHgB structure. Source: OQMD via LeMat-Bulk, functional PBE-GGA.

The structure in extended XYZ format:
```
4
Lattice="-4.2108 0.0306 0.6527 -1.9677 3.6324 1.0445 -2.5770 1.9100 -2.8051" Properties=species:S:1:pos:R:3 pbc="T T T"
Hg -2.1889 1.3933 -0.2770
Fe -6.5666 4.1798 -0.8310
B 0.0000 0.0000 0.0000
Re -4.3777 2.7865 -0.5540
```

**Energy above the most stable polymorph in this dataset**: 305.9 meV per atom
**V**: 13.7 Å³/atom
**Magnetization**: 2.1 μB/cell


Entry 7:
A geometry-optimized PrInPt structure. Source: OQMD via LeMat-Bulk, functional PBE-GGA.

The structure in extended XYZ format:
```
9
Lattice="-1.0318 -5.5933 5.0397 6.2933 0.1664 -4.2561 1.9344 2.3014 2.9503" Properties=species:S:1:pos:R:3 pbc="T T T"
Pt 3.8516 -1.7535 -1.1575
Pt 0.9672 1.1507 1.4751
Pt 1.4099 -3.6734 1.9411
Pr 0.3607 -2.1371 4.4376
Pr 4.6665 1.2485 -1.0267
Pr 3.1359 -1.0861 1.7981
In 3.9521 -4.0764 0.5886
In 1.5661 0.0414 -1.0592
In -0.2568 -1.3919 1.2541
```

**DFT total energy**: -5.4619 eV/atom
**V**: 23.4 Å³/atom
**Magnetization**: 0.0 μB/cell


Entry 8:
A geometry-optimized ThTcMo structure. Source: OQMD via LeMat-Bulk, functional PBE-GGA.

The structure in extended XYZ format:
```
3
Lattice="3.9186 -2.2953 0.2550 0.9237 -2.5220 3.6709 0.0009 -4.5386 -0.3003" Properties=species:S:1:pos:R:3 pbc="T T T"
Mo 0.0000 0.0000 0.0000
Th 3.6324 -7.0169 2.7192
Tc 1.2108 -2.3390 0.9064
```

**Energy above the most stable polymorph in this dataset**: 0.0 meV per atom
**V**: 22.2 Å³/atom
**Magnetization**: 0.0 μB/cell


Entry 9:
A geometry-optimized Er3Mg3Cd2Hg structure. Source: OQMD via LeMat-Bulk, functional PBE-GGA.

The structure in extended XYZ format:
```
9
Lattice="-6.1011 -4.1758 -1.8063 1.7462 1.2240 7.3059 -2.4765 3.6250 -0.0154" Properties=species:S:1:pos:R:3 pbc="T T T"
Mg -4.5285 -0.4176 4.1473
Mg -0.8113 2.1117 1.7784
Mg -2.7299 0.7916 -0.4493
Er -1.7978 -1.2185 2.2703
Er -3.5825 -2.4520 -1.0607
Er 1.0253 0.7187 4.2899
Cd -4.7236 -0.5634 1.2234
Cd -2.1078 1.2366 4.2608
Hg 0.0000 0.0000 0.0000
```

**DFT total energy**: -2.5531 eV/atom
**V**: 24.5 Å³/atom
**Magnetization**: 0.0 μB/cell


Entry 10:
A geometry-optimized SmHgPO structure. Source: OQMD via LeMat-Bulk, functional PBE-GGA.

The structure in extended XYZ format:
```
8
Lattice="-3.1356 -2.4045 -1.2614 3.3745 -1.9204 -4.7275 2.3951 -5.1089 3.7850" Properties=species:S:1:pos:R:3 pbc="T T T"
Sm 0.0089 -4.2654 1.2888
Sm 1.8019 -3.4128 -4.7933
Hg 3.8575 -5.9317 1.7182
Hg 3.0975 -3.6263 -0.7873
P 1.4739 -2.0042 0.1565
P 4.5883 -5.6496 -0.6364
O 1.9278 -4.5674 -2.9056
O 1.2677 -6.0646 1.5893
```

**Energy above the most stable polymorph in this dataset**: 317.9 meV per atom
**V**: 21.6 Å³/atom
**Magnetization**: 0.0 μB/cell


Entry 11:
A geometry-optimized ZrAgAs2 structure. Source: OQMD via LeMat-Bulk, functional PBE-GGA.

The structure in extended XYZ format:
```
4
Lattice="-1.6169 -2.6745 3.6091 -2.1760 2.0657 3.7136 -4.6980 -0.5681 0.6320" Properties=species:S:1:pos:R:3 pbc="T T T"
As -6.3682 -0.8827 5.9661
As 0.0000 0.0000 0.0000
Ag -4.2455 -0.5885 3.9774
Zr -2.1227 -0.2942 1.9887
```

**DFT total energy**: -5.1359 eV/atom
**V**: 19.2 Å³/atom
**Magnetization**: 0.0 μB/cell


Entry 12:
A geometry-optimized ErTePbAuSe2 structure. Source: OQMD via LeMat-Bulk, functional PBE-GGA.

The structure in extended XYZ format:
```
12
Lattice="-1.8083 2.1474 -6.8662 -1.9006 -3.7767 6.0951 -4.8463 9.0836 4.1173" Properties=species:S:1:pos:R:3 pbc="T T T"
Pb -5.5160 4.2754 6.4715
Pb -3.0392 3.1790 -3.1253
Se -2.1205 -1.1444 1.5909
Se -6.4347 8.5988 1.7553
Se -4.0366 2.4472 3.2188
Se -4.5185 5.0072 0.1274
Au -3.0690 1.2662 1.0597
Au -5.4862 6.1882 2.2865
Er -2.4231 4.5418 2.0586
Er 0.0000 0.0000 0.0000
Te -3.1027 -0.9017 5.8029
Te -5.4524 8.3561 -2.4567
```

**DFT total energy**: -4.4562 eV/atom
**V**: 27.2 Å³/atom
**Magnetization**: 0.0 μB/cell


Question: V of number 12 (ErTePbAuSe2)?
Answer: 27.2 Å³/atom